Pm6InOs2Br3 | Alexandria | PBE | optimized geometry; SG = C2/m; formation energy without anion corrections = -0.723 eV per atom
1.0
4.065 0.000 0.000
0.000 9.207 0.001
-2.033 -3.010 9.823
Pm Os Br In
6 2 3 1
Cartesian
2.033 3.884 9.105
2.033 0.280 3.248
2.033 4.204 3.623
0.000 2.313 0.718
0.000 1.993 6.201
0.000 5.917 6.576
0.000 2.207 3.382
2.033 3.990 6.441
0.000 6.777 3.426
2.033 4.604 0.000
2.033 -0.580 6.397
2.033 0.000 0.000

---

Pr6InOs2Br3 | Alexandria | PBE | optimized geometry; SG = C2/m; formation energy without anion corrections = -0.715 eV per atom
1.0
4.136 0.000 0.000
0.000 9.350 0.010
-2.068 -3.041 9.875
Pr Os Br In
6 2 3 1
Cartesian
0.000 6.030 6.614
2.068 4.254 3.636
0.000 2.345 0.682
2.068 0.279 3.270
2.068 3.964 9.202
0.000 2.056 6.248
2.068 4.078 6.501
0.000 2.232 3.383
2.068 4.675 0.005
0.000 6.874 3.429
2.068 -0.565 6.455
2.068 0.000 0.000

---

InSn2OsBr | Alexandria | PBE | optimized geometry; SG = P4/mmm; formation energy without anion corrections = -0.198 eV per atom
1.0
-1.187 -4.145 2.771
3.543 -2.706 -2.528
3.628 1.376 3.612
Os Sn Br In
1 2 1 1
Cartesian
0.000 0.000 0.000
-0.594 -2.072 1.386
1.772 -1.353 -1.264
2.992 -2.737 1.927
1.814 0.688 1.806